(1)
# Li3MnPCO7 PBE+U relaxed
data_Li3MnPCO7
_chemical_formula_sum 'Li6 Mn2 P2 C2 O14'
_cell_length_a 5.4212
_cell_length_b 6.7760
_cell_length_c 8.7206
_cell_angle_alpha 103.89
_cell_angle_beta 92.09
_cell_angle_gamma 97.05
_space_group_name_H-M_alt 'P -1'
_space_group_IT_number 2
_space_group_name_Hall '-P 1'
loop_
_atom_site_label
_atom_site_fract_x
_atom_site_fract_y
_atom_site_fract_z
Li1 0.0334 0.0215 0.2853
Li2 0.1309 0.6416 0.2607
Li3 0.4036 0.3546 0.2688
Mn1 0.3561 0.2688 0.9011
P1 0.1715 0.7650 0.9446
C1 0.3344 0.2612 0.5694
O1 0.0976 0.3486 0.1095
O2 0.1664 0.2209 0.6687
O3 0.2124 0.8337 0.1276
O4 0.2271 0.9441 0.8650
O5 0.2725 0.2169 0.4213
O6 0.3686 0.6116 0.8948
O7 0.4456 0.6534 0.3719
# Density of states at the Fermi level (states/eV per cell): 0.00
# M_tot (μB/f.u.): 5.0

(2)
# Li3MnPCO7 PBE+U relaxed
data_Li3MnPCO7
_chemical_formula_sum 'Li6 Mn2 P2 C2 O14'
_cell_length_a 4.8872
_cell_length_b 6.6779
_cell_length_c 8.7231
_cell_angle_alpha 90.00
_cell_angle_beta 91.91
_cell_angle_gamma 90.00
_space_group_name_H-M_alt 'P 1 21 1'
_space_group_IT_number 4
_space_group_name_Hall 'P 2yb'
loop_
_atom_site_label
_atom_site_fract_x
_atom_site_fract_y
_atom_site_fract_z
Li1 0.1629 0.0000 0.1198
Li2 0.2718 0.2957 0.3630
Li3 0.3190 0.5224 0.6873
Mn1 0.3039 0.0785 0.7389
P1 0.1877 0.7990 0.4280
C1 0.3317 0.3745 0.0225
O1 0.1325 0.2914 0.5784
O2 0.2000 0.2974 0.1321
O3 0.2243 0.3743 0.8818
O4 0.2813 0.8036 0.6020
O5 0.2860 0.9853 0.3406
O6 0.2950 0.6076 0.3501
O7 0.4261 0.9541 0.9547
# Density of states at the Fermi level (states/eV per cell): 0.00
# M_tot (μB/f.u.): 5.0

Least stable structure among those shown: (1).